Entry 1:
A relaxed HfBeTe crystal, computed with PBE-GGA.

It has space group P2_1/m (No. 11), with a = 3.698 Å, b = 3.683 Å, c = 9.479 Å, α = 90.00°, β = 101.21° and γ = 90.00°. The distinct sites, in fractional coordinates, are Hf at (0.072, 0.250, 0.144), Be at (0.473, 0.250, 0.945) and Te at (0.344, 0.250, 0.687).

The energy relative to the elements, uncorrected is -0.5890 eV per atom.

Entry 2:
A relaxed BaLiCuCl4 crystal, computed with PBE-GGA.

It has space group P2_1/m (No. 11), with a = 5.865 Å, b = 8.909 Å, c = 7.964 Å, α = 90.00°, β = 101.84° and γ = 90.00°. The distinct sites, in fractional coordinates, are Ba at (0.135, 0.250, 0.111), Li at (0.289, 0.250, 0.694), Cu at (0.228, 0.750, 0.313), Cl at (0.037, 0.053, 0.762), Cl at (0.414, 0.750, 0.048) and Cl at (0.472, 0.250, 0.463).

The energy relative to the elements, uncorrected is -1.6625 eV per atom.

Entry 3:
A relaxed K2BMo crystal, computed with PBE-GGA.

It has space group I-42d (No. 122), with a = 12.309 Å, b = 12.309 Å, c = 4.255 Å, α = 90.00°, β = 90.00° and γ = 90.00°. The distinct sites, in fractional coordinates, are K at (0.046, 0.750, 0.125), B at (0.000, 0.000, 0.000) and Mo at (0.000, 0.000, 0.500).

The total energy is -3.775 eV/atom.

Entry 4:
A relaxed Te2RuN2 crystal, computed with PBE-GGA.

It has space group P4/mmm (No. 123), with a = 3.976 Å, b = 3.976 Å, c = 5.889 Å, α = 90.00°, β = 90.00° and γ = 90.00°. The distinct sites, in fractional coordinates, are Te at (0.000, 0.000, 0.000), Te at (0.500, 0.500, 0.000), Ru at (0.000, 0.000, 0.500) and N at (0.000, 0.500, 0.500).

The energy relative to the elements, uncorrected is 0.9730 eV per atom.

Entry 5:
A relaxed Pu3As2S crystal, computed with PBE-GGA.

It has space group Immm (No. 71), with a = 4.102 Å, b = 5.797 Å, c = 12.262 Å, α = 90.00°, β = 90.00° and γ = 90.00°. The distinct sites, in fractional coordinates, are Pu at (0.000, 0.000, 0.000), Pu at (0.000, 0.000, 0.339), As at (0.000, 0.500, 0.331) and S at (0.000, 0.500, 0.000).

The energy relative to the elements, uncorrected is -1.2795 eV per atom.

Entry 6:
A relaxed Li2ZnNi crystal, computed with PBE-GGA.

It has space group P4/mmm (No. 123), with a = 3.571 Å, b = 3.571 Å, c = 4.058 Å, α = 90.00°, β = 90.00° and γ = 90.00°. The distinct sites, in fractional coordinates, are Li at (0.000, 0.500, 0.000), Zn at (0.000, 0.000, 0.500) and Ni at (0.500, 0.500, 0.500).

The total energy is -2.824 eV/atom.